Entry 1:
A relaxed structure of AlRh2C. Source: Alexandria, functional PBE.

Unit cell a=4.0973 b=4.0973 c=4.0973 alpha=60.00 beta=60.00 gamma=60.00
Sites, in units of the cell vectors:
C  0.0000  0.0000  0.0000
Rh  0.2500  0.2500  0.2500
Rh  0.7500  0.7500  0.7500
Al  0.5000  0.5000  0.5000

Calculated values
* formation energy: 0.5444 eV/atom

---

Entry 2:
A relaxed structure of CsMgInAs2. Source: Alexandria, functional PBE.

Unit cell a=4.4855 b=7.4940 c=10.5382 alpha=97.81 beta=90.00 gamma=107.41
Sites, in units of the cell vectors:
Cs  0.3493  0.6986  0.3431
Cs  0.6507  0.3014  0.6569
Mg  0.6810  0.3619  0.0664
Mg  0.3190  0.6381  0.9336
In  0.0514  0.1029  0.1753
In  0.9486  0.8971  0.8247
As  0.3775  0.7550  0.7014
As  0.6225  0.2450  0.2986
As  0.1298  0.2596  0.9391
As  0.8702  0.7404  0.0609

Calculated values
* formation energy: -0.5150 eV/atom

---

Entry 3:
A relaxed structure of Sm3TmAg4. Source: Alexandria, functional PBE.

Unit cell a=3.6595 b=3.6595 c=14.8791 alpha=90.00 beta=90.00 gamma=90.00
Sites, in units of the cell vectors:
Tm  0.5000  0.5000  0.0000
Ag  0.0000  0.0000  0.8857
Ag  0.0000  0.0000  0.1143
Ag  0.0000  0.0000  0.3737
Ag  0.0000  0.0000  0.6263
Sm  0.5000  0.5000  0.2456
Sm  0.5000  0.5000  0.5000
Sm  0.5000  0.5000  0.7544

Calculated values
* formation energy: -0.2939 eV/atom

---

Entry 4:
A relaxed structure of Na2PaPbSe4. Source: Alexandria, functional PBE.

Unit cell a=4.2577 b=7.5420 c=7.3668 alpha=109.09 beta=90.00 gamma=90.00
Sites, in units of the cell vectors:
Na  0.5000  0.0000  0.5000
Na  0.0000  0.5000  0.5000
Pa  0.5000  0.5000  0.0000
Pb  0.0000  0.0000  0.0000
Se  0.5000  0.2693  0.2370
Se  0.5000  0.7307  0.7630
Se  0.0000  0.2707  0.7680
Se  0.0000  0.7293  0.2320

Calculated values
* formation energy without anion corrections: -1.124 eV per atom

---

Entry 5:
A relaxed structure of BaLaAs. Source: Alexandria, functional PBE.

Unit cell a=7.6922 b=7.6921 c=3.9652 alpha=75.07 beta=75.07 gamma=29.87
Sites, in units of the cell vectors:
As  0.0207  0.0207  0.9793
Ba  0.3687  0.3687  0.6313
La  0.6106  0.6107  0.3894

Calculated values
* formation energy: -0.7808 eV/atom
* polymorph energy (0 for the lowest one): 2.09 kcal/mol of atoms

---

We obtain electronic total energy values of -6.373; -3.412; -4.048; -4.847; -4.614 eV/atom for the records listed above, in that order.
We obtain magnetic moment values of 0.003; 0.000; 0.000; 0.125; 0.000 μB/atom for the records listed above, in that order.